Compound: V2Bi8O17
Source: the Alexandria database
Functional: GGA+U
Structure: relaxed

POSCAR file:
```
V2Bi8O17
1.0
3.763 -1.860 0.000
3.763 1.860 0.000
-3.100 0.000 31.584
V Bi O
2 8 17
Direct
0.000 0.000 0.000
0.231 0.231 0.177
0.049 0.049 0.262
0.137 0.137 0.593
0.179 0.179 0.913
0.334 0.334 0.483
0.497 0.497 0.808
0.543 0.543 0.090
0.680 0.680 0.373
0.899 0.899 0.695
0.012 0.012 0.187
0.106 0.106 0.519
0.154 0.154 0.667
0.169 0.169 0.813
0.214 0.214 0.987
0.273 0.273 0.118
0.320 0.320 0.234
0.350 0.350 0.376
0.482 0.482 0.735
0.529 0.529 0.014
0.539 0.539 0.883
0.654 0.654 0.300
0.707 0.707 0.170
0.731 0.731 0.449
0.815 0.815 0.598
0.904 0.904 0.945
0.926 0.926 0.057
```

Properties
Symmetry   Cm (8)
Calculated total energy   -6.07 eV/atom
Total moment   0.0 μB/f.u.
Excess energy over the best structure of this formula in the dataset   0.093 eV per atom